Entry 1:
A geometry-optimized MgBeAl2 structure. Source: Alexandria, functional PBE-GGA.

Values from the calculation:
DOS at the Fermi energy: 1.3 states/eV/f.u.
ΔE to the lowest computed polymorph: 9.4 kJ/mol of atoms
Energy relative to the elements: 0.1716 eV per atom
Total energy: -3.030 eV per atom

Unit cell a=2.8293 b=2.8293 c=7.8296 alpha=90.00 beta=90.00 gamma=90.00
With the nearest neighbours (Å) after each atom.
Space group P4mm (No. 99)
Symmetry-distinct sites (fractional):
1 Mg 0.0000 0.0000 0.0000  4 Be 2.71, 4 Mg 2.83, 4 Al 3.03
2 Be 0.5000 0.5000 0.7656  4 Al 2.55, 4 Mg 2.71, 4 Be 2.83
3 Al 0.0000 0.0000 0.5644  4 Be 2.55, 4 Al 2.83
4 Al 0.5000 0.5000 0.2906  8 Al 2.83-2.93, 4 Mg 3.03

Entry 2:
A geometry-optimized Mg2BeAl structure. Source: Alexandria, functional PBE-GGA.

Values from the calculation:
DOS at the Fermi energy: 1.5 states/eV/f.u.
ΔE to the lowest computed polymorph: 6.3 kJ/mol of atoms
Energy relative to the elements: 0.1375 eV per atom
Total energy: -2.527 eV per atom

Unit cell a=5.0839 b=5.1573 c=6.1169 alpha=105.16 beta=103.34 gamma=103.38
With the nearest neighbours (Å) after each atom.
Space group P1 (No. 1)
Symmetry-distinct sites (fractional):
1 Mg 0.0000 0.0000 0.0000  2 Be 2.48, 1 Al 2.70
2 Mg 0.0375 0.6063 0.3356  4 Be 2.72-2.78, 1 Al 3.04
3 Mg 0.1521 0.4883 0.8239  2 Be 2.64-2.67, 3 Al 2.84-2.93, 1 Mg 2.93
4 Mg 0.6355 0.9874 0.3332  4 Be 2.64-2.81
5 Be 0.2245 0.1765 0.4386  2 Al 2.32-2.46, 1 Be 2.41, 1 Mg 2.48
6 Be 0.4513 0.3950 0.1989  2 Al 2.34-2.54, 1 Be 2.41, 1 Mg 2.48
7 Al 0.4897 0.1187 0.8048  2 Be 2.46-2.54
8 Al 0.6163 0.5803 0.6160  2 Be 2.32-2.34

Entry 3:
A geometry-optimized Mg2BeAl structure. Source: Alexandria, functional PBE-GGA.

Values from the calculation:
DOS at the Fermi energy: 1.5 states/eV/f.u.
ΔE to the lowest computed polymorph: 31.8 kJ/mol of atoms
Energy relative to the elements: 0.4019 eV per atom
Total energy: -2.263 eV per atom

Unit cell a=8.9710 b=8.9710 c=4.3786 alpha=90.00 beta=90.00 gamma=90.00
With the nearest neighbours (Å) after each atom.
Space group I-42d (No. 122)
Symmetry-distinct sites (fractional):
1 Mg 0.1090 0.7500 0.1250  2 Be 2.51
2 Be 0.0000 0.0000 0.0000  2 Al 2.19
3 Al 0.0000 0.0000 0.5000  2 Be 2.19

Entry 4:
A geometry-optimized MgBeAl structure. Source: Alexandria, functional PBE-GGA.

Values from the calculation:
DOS at the Fermi energy: 0.6 states/eV/f.u.
ΔE to the lowest computed polymorph: 5.3 kJ/mol of atoms
Energy relative to the elements: 0.1239 eV per atom
Total energy: -2.897 eV per atom

Unit cell a=3.8743 b=4.8011 c=6.0843 alpha=94.14 beta=108.53 gamma=113.20
With the nearest neighbours (Å) after each atom.
Space group P1 (No. 1)
Symmetry-distinct sites (fractional):
1 Mg 0.0000 0.0000 0.0000  5 Be 2.57-2.85, 1 Al 2.81
2 Mg 0.3066 0.0597 0.5499  3 Be 2.65-2.68, 4 Al 2.87-2.96
3 Be 0.7054 0.4164 0.9937  1 Be 2.13
4 Be 0.8190 0.3019 0.3330  1 Be 2.13
5 Al 0.1392 0.5225 0.7591  3 Be 2.43-2.47
6 Al 0.4394 0.6225 0.2568  4 Be 2.49-2.51

Entry 5:
A geometry-optimized MgBeAl2 structure. Source: Alexandria, functional PBE-GGA.

Values from the calculation:
DOS at the Fermi energy: 1.3 states/eV/f.u.
ΔE to the lowest computed polymorph: 12.7 kJ/mol of atoms
Energy relative to the elements: 0.2061 eV per atom
Total energy: -2.995 eV per atom

Unit cell a=2.9171 b=4.3118 c=5.2308 alpha=90.00 beta=101.17 gamma=90.00
With the nearest neighbours (Å) after each atom.
Space group P2/m (No. 10)
Symmetry-distinct sites (fractional):
1 Mg 0.0000 0.0000 0.0000  2 Be 2.74, 8 Al 2.91-2.99, 2 Mg 2.92
2 Be 0.5000 0.0000 0.5000  4 Al 2.53, 2 Mg 2.74
3 Al 0.3793 0.5000 0.7308  2 Be 2.53, 2 Al 2.64-2.77

Entry 6:
A geometry-optimized MgBeAl3 structure. Source: Alexandria, functional PBE-GGA.

Values from the calculation:
DOS at the Fermi energy: 2.6 states/eV/f.u.
ΔE to the lowest computed polymorph: 91.3 kJ/mol of atoms
Energy relative to the elements: 1.3171 eV per atom
Total energy: -1.993 eV per atom

Unit cell a=5.0474 b=5.0474 c=5.0474 alpha=90.00 beta=90.00 gamma=90.00
With the nearest neighbours (Å) after each atom.
Space group Pm-3m (No. 221)
Symmetry-distinct sites (fractional):
1 Mg 0.0000 0.0000 0.0000  6 Al 2.52
2 Be 0.5000 0.5000 0.5000  12 Al 3.57
3 Al 0.0000 0.0000 0.5000  2 Mg 2.52

Entry 7:
A geometry-optimized MgBeAl structure. Source: Alexandria, functional PBE-GGA.

Values from the calculation:
DOS at the Fermi energy: 0.5 states/eV/f.u.
ΔE to the lowest computed polymorph: 4.5 kJ/mol of atoms
Energy relative to the elements: 0.1155 eV per atom
Total energy: -2.906 eV per atom

Unit cell a=4.7477 b=8.4312 c=9.0253 alpha=90.00 beta=90.00 gamma=90.00
With the nearest neighbours (Å) after each atom.
Space group Fmmm (No. 69)
Symmetry-distinct sites (fractional):
1 Mg 0.0000 0.1651 0.0000  4 Be 2.65, 3 Mg 2.77-2.78
2 Be 0.2500 0.2500 0.2500  2 Be 2.37, 4 Al 2.56, 4 Mg 2.65
3 Al 0.0000 0.0000 0.3426  4 Be 2.56, 1 Al 2.84

Entry 8:
A geometry-optimized MgBeAl2 structure. Source: Alexandria, functional PBE-GGA.

Values from the calculation:
DOS at the Fermi energy: 1.4 states/eV/f.u.
ΔE to the lowest computed polymorph: 16.3 kJ/mol of atoms
Energy relative to the elements: 0.2436 eV per atom
Total energy: -2.958 eV per atom

Unit cell a=5.4814 b=8.1291 c=2.8883 alpha=90.00 beta=90.00 gamma=90.00
With the nearest neighbours (Å) after each atom.
Space group Cmmm (No. 65)
Symmetry-distinct sites (fractional):
1 Mg 0.0000 0.0000 0.0000  2 Be 2.74, 8 Al 2.84, 2 Mg 2.89
2 Be 0.0000 0.5000 0.0000  2 Mg 2.74, 8 Al 2.84, 2 Be 2.89
3 Al 0.2500 0.2500 0.5000  4 Al 2.74-2.89, 4 Mg 2.84, 4 Be 2.84

Entry 9:
A geometry-optimized Mg2BeAl structure. Source: Alexandria, functional PBE-GGA.

Values from the calculation:
DOS at the Fermi energy: 0.3 states/eV/f.u.
ΔE to the lowest computed polymorph: 20.3 kJ/mol of atoms
Energy relative to the elements: 0.2831 eV per atom
Total energy: -2.381 eV per atom

Unit cell a=6.4662 b=6.4662 c=6.4662 alpha=90.00 beta=90.00 gamma=90.00
With the nearest neighbours (Å) after each atom.
Space group F-43m (No. 216)
Symmetry-distinct sites (fractional):
1 Mg 0.0000 0.0000 0.0000  4 Mg 2.80, 4 Be 2.80
2 Mg 0.2500 0.2500 0.2500  4 Mg 2.80, 4 Al 2.80
3 Be 0.2500 0.2500 0.7500  4 Mg 2.80, 4 Al 2.80
4 Al 0.0000 0.0000 0.5000  4 Be 2.80, 4 Mg 2.80

Entry 10:
A geometry-optimized Mg17BeAl11 structure. Source: Alexandria, functional PBE-GGA.

Values from the calculation:
DOS at the Fermi energy: 10.0 states/eV/f.u.
Energy relative to the elements: -0.0046 eV per atom
Total energy: -2.487 eV per atom

Unit cell a=10.4545 b=14.7980 c=9.0552 alpha=90.00 beta=125.21 gamma=90.00
With the nearest neighbours (Å) after each atom.
Space group Cm (No. 8)
Symmetry-distinct sites (fractional):
1 Mg 0.0000 0.0000 0.0000  1 Be 3.05, 4 Mg 3.10-3.14, 11 Al 3.12-3.19
2 Mg 0.0001 0.0000 0.3461  4 Mg 3.02-3.13, 6 Al 3.07-3.09
3 Mg 0.0582 0.3424 0.4020  5 Al 2.90-3.20, 7 Mg 3.03-3.17
4 Mg 0.1515 0.5000 0.6586  4 Mg 3.03-3.14, 6 Al 3.06-3.14
5 Mg 0.1581 0.1548 0.6100  4 Al 2.88-3.22, 1 Be 2.93, 7 Mg 3.02-3.17
6 Mg 0.1712 0.1708 0.9989  4 Mg 3.00-3.10, 1 Be 3.00, 5 Al 3.00-3.08
7 Mg 0.1851 0.5000 0.2902  5 Al 2.93-3.16, 7 Mg 3.03-3.15
8 Mg 0.3013 0.3005 0.3182  5 Al 2.93-3.16, 7 Mg 3.06-3.16
9 Mg 0.3892 0.0000 0.7194  1 Be 2.88, 4 Al 3.01-3.21, 7 Mg 3.05-3.17
10 Mg 0.4573 0.1419 0.0029  4 Al 2.89-3.06, 7 Mg 3.00-3.16, 1 Be 3.20
11 Mg 0.4833 0.1986 0.6863  5 Al 2.89-3.17, 7 Mg 3.03-3.17
12 Be 0.1744 0.0000 0.8222  3 Al 2.52-2.59
13 Al 0.0032 0.1825 0.1880  3 Al 2.69-2.75, 3 Mg 2.90-2.98
14 Al 0.2241 0.4095 0.0026  3 Al 2.68-2.75, 3 Mg 2.89-2.96
15 Al 0.2754 0.0916 0.3668  3 Al 2.69-2.79, 2 Mg 2.89-2.95
16 Al 0.3165 0.3173 0.8164  3 Al 2.70-2.75, 3 Mg 2.91-2.98
17 Al 0.3563 0.0000 0.1621  1 Be 2.52, 2 Al 2.79
18 Al 0.4147 0.4094 0.6418  1 Be 2.59, 2 Al 2.68-2.70, 1 Mg 2.88

Among the records above, which one has the highest total energy? MgBeAl3

Which of these has the lowest total energy? number 1

Number 6 is which compound? MgBeAl3